Below is crystalline MoAsNO2 at its relaxed geometry, with properties calculated at the PBE+U level.

a = 3.7421 Å, b = 3.7421 Å, c = 4.0565 Å
α = 90.00°, β = 90.00°, γ = 90.00°
Positions (direct):
1 Mo 0.0000 0.0000 0.0000
2 As 0.5000 0.5000 0.5000
3 N 0.5000 0.5000 0.0000
4 O 0.0000 0.5000 0.5000
5 O 0.5000 0.0000 0.5000

Results
VASP energy: -5.930 eV/atom
magnetic moment: 3.52 μB/f.u.